Material: CaMgPt2
Method: DFT, meta-GGA SCAN
State: single point on PBEsol structure

- calculated formation energy (eV/atom) = -0.8760
- total energy (eV/atom) = -39.632

Cell: 3.0096 4.8272 4.8778 Å, 90.00 90.00 90.00°
With the nearest neighbours (Å) after each atom.
Sites, in units of the cell vectors:
Mg  0.5000  0.5000  0.1469  8 Pt 2.81-2.92, 2 Mg 3.01
Pt  0.0000  0.5000  0.6609  4 Mg 2.81-2.92, 4 Ca 2.86, 2 Pt 3.01
Pt  0.0000  0.0000  0.0949  4 Mg 2.86, 4 Ca 2.86-2.88, 2 Pt 3.01
Ca  0.5000  0.0000  0.5972  8 Pt 2.86-2.88, 2 Ca 3.01



Material: Ba2SrRh
Method: DFT, meta-GGA SCAN
State: single point on PBEsol structure

- relative energy among the computed polymorphs (eV per atom) = 0.116
- calculated formation energy (eV/atom) = -0.0127
- total energy (eV/atom) = -33.800

Cell: 3.8226 3.8226 10.7806 Å, 90.00 90.00 90.25°
With the nearest neighbours (Å) after each atom.
Sites, in units of the cell vectors:
Ba  0.0000  0.0000  0.3369  4 Rh 3.22-3.23, 1 Ba 3.52
Rh  0.5000  0.5000  0.5000  8 Ba 3.22-3.23
Ba  0.0000  0.0000  0.6631  4 Rh 3.22-3.23, 1 Ba 3.52
Sr  0.5000  0.5000  0.0000  4 Sr 3.82



Material: As3Ru
Method: DFT, meta-GGA SCAN
State: single point on PBEsol structure

- relative energy among the computed polymorphs (eV per atom) = 0.293
- calculated formation energy (eV/atom) = 0.4443
- total energy (eV/atom) = -23.405

Cell: 3.0809 4.5664 4.5664 Å, 90.00 90.00 90.00°
With the nearest neighbours (Å) after each atom.
Sites, in units of the cell vectors:
As  0.5000  0.5000  0.5000  10 As 2.75-3.08
As  0.0000  0.0000  0.5000  6 As 2.75-3.08, 4 Ru 2.75
As  0.0000  0.5000  0.0000  6 As 2.75-3.08, 4 Ru 2.75
Ru  0.5000  0.0000  0.0000  8 As 2.75, 2 Ru 3.08



Material: AgSbF3
Method: DFT, meta-GGA SCAN
State: single point on PBEsol structure

- relative energy among the computed polymorphs (eV per atom) = 0.453
- total energy (eV/atom) = -16.683

Cell: 4.3142 4.3142 4.3142 Å, 90.00 90.00 90.00°
With the nearest neighbours (Å) after each atom.
Sites, in units of the cell vectors:
F  0.5000  0.0000  0.0000  2 Ag 2.16
Sb  0.5000  0.5000  0.5000  12 F 3.05
F  0.0000  0.0000  0.5000  2 Ag 2.16
F  0.0000  0.5000  0.0000  2 Ag 2.16
Ag  0.0000  0.0000  0.0000  6 F 2.16



What did the second record say?
Material: Ba2SrRh
Method: DFT, meta-GGA SCAN
State: single point on PBEsol structure

- relative energy among the computed polymorphs (eV per atom) = 0.116
- calculated formation energy (eV/atom) = -0.0127
- total energy (eV/atom) = -33.800

Cell: 3.8226 3.8226 10.7806 Å, 90.00 90.00 90.25°
With the nearest neighbours (Å) after each atom.
Sites, in units of the cell vectors:
Ba  0.0000  0.0000  0.3369  4 Rh 3.22-3.23, 1 Ba 3.52
Rh  0.5000  0.5000  0.5000  8 Ba 3.22-3.23
Ba  0.0000  0.0000  0.6631  4 Rh 3.22-3.23, 1 Ba 3.52
Sr  0.5000  0.5000  0.0000  4 Sr 3.82



Repeat the second record exactly.
Material: Ba2SrRh
Method: DFT, meta-GGA SCAN
State: single point on PBEsol structure

- relative energy among the computed polymorphs (eV per atom) = 0.116
- calculated formation energy (eV/atom) = -0.0127
- total energy (eV/atom) = -33.800

Cell: 3.8226 3.8226 10.7806 Å, 90.00 90.00 90.25°
With the nearest neighbours (Å) after each atom.
Sites, in units of the cell vectors:
Ba  0.0000  0.0000  0.3369  4 Rh 3.22-3.23, 1 Ba 3.52
Rh  0.5000  0.5000  0.5000  8 Ba 3.22-3.23
Ba  0.0000  0.0000  0.6631  4 Rh 3.22-3.23, 1 Ba 3.52
Sr  0.5000  0.5000  0.0000  4 Sr 3.82



Number 4 is which compound? AgSbF3



Look up the total energy of the first one. -39.632 eV/atom